VASP calculation (GGA-PBE) on a relaxed structure of Pm3Pr2Dy6Sc.

a b c (Å): 6.191 6.191 11.843
angles (deg): 94.99 94.99 119.99
Fractional positions:
Dy 0.082 0.412 0.248
Dy 0.752 0.752 0.249
Dy 0.918 0.588 0.752
Dy 0.248 0.248 0.751
Dy 0.588 0.918 0.752
Dy 0.412 0.082 0.248
Pm 0.833 0.167 0.500
Pm 0.167 0.833 0.500
Pm 0.500 0.500 0.500
Sc 0.000 0.000 0.000
Pr 0.666 0.334 0.000
Pr 0.334 0.666 0.000

Properties
Calculated formation energy = 0.02 eV/atom
Total magnetic moment = 0.000 μB/f.u.